{"formula": "Cs4Mg3InF12", "functional": "PBE", "state": "optimized geometry", "cell": [[-4.3574, 4.3574, 4.3574], [4.3574, -4.3574, 4.3574], [4.3574, 4.3574, -4.3574]], "species": ["Cs", "Cs", "Cs", "Cs", "Mg", "Mg", "Mg", "In", "F", "F", "F", "F", "F", "F", "F", "F", "F", "F", "F", "F"], "frac_coords": [[0.0000, 0.0000, 0.5000], [0.0000, 0.5000, 0.0000], [0.5000, 0.0000, 0.0000], [0.5000, 0.5000, 0.5000], [0.0000, 0.5000, 0.5000], [0.5000, 0.0000, 0.5000], [0.5000, 0.5000, 0.0000], [0.0000, 0.0000, 0.0000], [0.0000, 0.2703, 0.2703], [0.0000, 0.7297, 0.7297], [0.2500, 0.5000, 0.7500], [0.2500, 0.7500, 0.5000], [0.2703, 0.0000, 0.2703], [0.2703, 0.2703, 0.0000], [0.5000, 0.2500, 0.7500], [0.5000, 0.7500, 0.2500], [0.7297, 0.0000, 0.7297], [0.7297, 0.7297, 0.0000], [0.7500, 0.2500, 0.5000], [0.7500, 0.5000, 0.2500]], "volume_a3_per_atom": 16.55, "raw_formation_energy_mev_per_atom": -2967, "energy_ev_per_atom": -4.637, "rho_g_cm3": 4.75, "dos_at_fermi_per_ev_atom": 0.129, "space_group": "Im-3m (229)"}